Crystalline Ba8HgPt3 at its relaxed geometry. Source: Alexandria, functional GGA-PBE.

Cell: 9.223 9.223 9.263 Å, 118.13 118.13 62.08°
Fractional positions:
Ba  0.222  0.754  0.748
Ba  0.244  0.244  0.258
Ba  0.245  0.245  0.719
Ba  0.246  0.778  0.252
Ba  0.754  0.222  0.748
Ba  0.755  0.755  0.281
Ba  0.756  0.756  0.742
Ba  0.778  0.246  0.252
Hg  0.500  0.500  0.000
Pt  0.000  0.000  0.000
Pt  0.000  0.500  0.500
Pt  0.500  0.000  0.500

Computed properties:
* calculated density: 5.4 g cm⁻³
* symmetry: C2/m (12)
* raw total energy: -3.365 eV/atom
* DFT formation energy: -548 meV per atom


Crystalline Ca4Be at its relaxed geometry. Source: Alexandria, functional GGA-PBE.

Cell: 6.134 6.134 6.134 Å, 109.47 109.47 109.47°
Fractional positions:
Ca  0.000  0.000  0.500
Ca  0.000  0.500  0.000
Ca  0.500  0.000  0.000
Ca  0.500  0.500  0.500
Be  0.000  0.000  0.000

Computed properties:
* calculated density: 1.6 g cm⁻³
* symmetry: Im-3m (229)
* raw total energy: -1.993 eV/atom
* energy above the most stable polymorph in this dataset: 52 kJ/mol of formula units
* DFT formation energy: 353 meV per atom


Crystalline BaAlW2 at its relaxed geometry. Source: Alexandria, functional GGA-PBE.

Cell: 10.201 10.201 10.201 Å, 152.35 152.35 39.50°
Fractional positions:
Ba  0.000  0.000  0.000
Ba  0.750  0.250  0.500
Al  0.250  0.750  0.500
Al  0.500  0.500  0.000
W  0.352  0.125  0.727
W  0.375  0.648  0.773
W  0.398  0.625  0.273
W  0.875  0.602  0.227

Computed properties:
* calculated density: 7.7 g cm⁻³
* symmetry: I-42d (122)
* raw total energy: -6.715 eV/atom
* DFT formation energy: 1177 meV per atom


Crystalline Cs2CuGeCl5 at its relaxed geometry. Source: Alexandria, functional GGA-PBE.

Cell: 10.327 10.327 13.836 Å, 90.00 90.00 157.03°
Fractional positions:
Cs  0.115  0.885  0.500
Cs  0.122  0.878  0.093
Cs  0.878  0.122  0.593
Cs  0.885  0.115  0.000
Cu  0.468  0.532  0.285
Cu  0.532  0.468  0.785
Ge  0.213  0.787  0.800
Ge  0.787  0.213  0.300
Cl  0.039  0.961  0.857
Cl  0.286  0.714  0.431
Cl  0.291  0.709  0.169
Cl  0.331  0.669  0.797
Cl  0.490  0.510  0.124
Cl  0.510  0.490  0.624
Cl  0.669  0.331  0.297
Cl  0.709  0.291  0.669
Cl  0.714  0.286  0.931
Cl  0.961  0.039  0.357

Computed properties:
* calculated density: 3.3 g cm⁻³
* symmetry: Cmc2_1 (36)
* raw total energy: -3.432 eV/atom